Cr3CoSe | GGA-PBE | relaxed

The crystal system is cubic. The relative energy among the computed polymorphs comes out at 0.000 eV/atom.

The space group is Pm-3m (No. 221) and the conventional cell measures 4.4426, 4.4426 and 4.4426 Å, with angles of 90.00, 90.00 and 90.00 degrees. The inequivalent atoms are Cr at (0.0000, 0.0000, 0.5000), Co at (0.0000, 0.0000, 0.0000) and Se at (0.5000, 0.5000, 0.5000).



CrCoSe | GGA-PBE | relaxed

The crystal system is orthorhombic. The relative energy among the computed polymorphs comes out at 0.093 eV/atom.

The space group is Pmmn (No. 59, origin choice 2) and the conventional cell measures 2.7272, 4.0450 and 9.5860 Å, with angles of 90.00, 90.00 and 90.00 degrees. The inequivalent atoms are Cr at (0.2500, 0.2500, 0.1757), Co at (0.2500, 0.7500, 0.0305) and Se at (0.2500, 0.7500, 0.3196).



Ta2CrCoSe | GGA-PBE | relaxed

The calculation puts the calculated total energy at -7.6309 eV/atom. The crystal system is tetragonal.

The space group is P4/mmm (No. 123) and the conventional cell measures 4.6588, 4.6588 and 4.1273 Å, with angles of 90.00, 90.00 and 90.00 degrees. The inequivalent atoms are Ta at (0.0000, 0.5000, 0.0000), Cr at (0.0000, 0.0000, 0.5000), Co at (0.5000, 0.5000, 0.0000) and Se at (0.5000, 0.5000, 0.5000).



YCrCoSe2 | GGA-PBE | relaxed

The calculation puts the calculated total energy at -6.1719 eV/atom. The crystal system is tetragonal.

The space group is P4/mmm (No. 123) and the conventional cell measures 4.8613, 4.8613 and 4.2788 Å, with angles of 90.00, 90.00 and 90.00 degrees. The inequivalent atoms are Y at (0.0000, 0.0000, 0.0000), Cr at (0.5000, 0.5000, 0.0000), Co at (0.5000, 0.5000, 0.5000) and Se at (0.0000, 0.5000, 0.5000).



CrCo2Si | GGA-PBE | relaxed

The calculation puts the calculated total energy at -7.4862 eV/atom. The crystal system is orthorhombic.

The space group is Imm2 (No. 44) and the conventional cell measures 2.8358, 3.9280 and 8.0013 Å, with angles of 90.00, 90.00 and 90.00 degrees. The inequivalent atoms are Cr at (0.0000, 0.0000, 0.0000), Co at (0.0000, 0.0000, 0.4830), Co at (0.0000, 0.5000, 0.2491) and Si at (0.0000, 0.5000, 0.7528).



CrCo2Si2 | GGA-PBE | relaxed

The calculation puts the calculated total energy at -7.3030 eV/atom. The crystal system is tetragonal.

The space group is P4/mbm (No. 127) and the conventional cell measures 6.6454, 6.6454 and 2.5372 Å, with angles of 90.00, 90.00 and 90.00 degrees. The inequivalent atoms are Cr at (0.0000, 0.0000, 0.0000), Co at (0.1472, 0.3528, 0.5000) and Si at (0.1506, 0.6506, 0.0000).